[1]
Here is an optimized crystal structure of YBe2Ir from Alexandria via LeMat-Bulk. Energies are from GGA-PBE.

- formation energy from the elements (eV per atom) = 0.041
- uncorrected energy (eV per atom) = -5.65
- excess energy over the best structure of this formula in the dataset (meV per atom) = 571
- density (g cm⁻³) = 8.01

CIF file:
```
data_YBe2Ir
_chemical_formula_sum 'Y4 Be8 Ir4'
_space_group_name_H-M_alt 'F -4 3 m'
_space_group_IT_number 216
_space_group_name_Hall 'F -4 2 3'
_cell_length_a 6.2841
_cell_length_b 6.2841
_cell_length_c 6.2841
_cell_angle_alpha 90.00
_cell_angle_beta 90.00
_cell_angle_gamma 90.00
loop_
_atom_site_label
_atom_site_type_symbol
_atom_site_fract_x
_atom_site_fract_y
_atom_site_fract_z
_atom_site_occupancy
Y1 Y 0.0000 0.0000 0.0000 1
Be1 Be 0.0000 0.0000 0.5000 1
Be2 Be 0.2500 0.2500 0.2500 1
Ir1 Ir 0.2500 0.2500 0.7500 1
```


[2]
Here is an optimized crystal structure of YBe2Ir from Alexandria via LeMat-Bulk. Energies are from GGA-PBE.

- formation energy from the elements (eV per atom) = -0.303
- uncorrected energy (eV per atom) = -6.00
- excess energy over the best structure of this formula in the dataset (meV per atom) = 227
- density (g cm⁻³) = 8.59

CIF file:
```
data_YBe2Ir
_chemical_formula_sum 'Y1 Be2 Ir1'
_space_group_name_H-M_alt 'P 4/m m m'
_space_group_IT_number 123
_space_group_name_Hall '-P 4 2'
_cell_length_a 2.9821
_cell_length_b 2.9821
_cell_length_c 6.5038
_cell_angle_alpha 90.00
_cell_angle_beta 90.00
_cell_angle_gamma 90.00
loop_
_atom_site_label
_atom_site_type_symbol
_atom_site_fract_x
_atom_site_fract_y
_atom_site_fract_z
_atom_site_occupancy
Y1 Y 0.0000 0.0000 0.0000 1
Be1 Be 0.5000 0.5000 0.3259 1
Ir1 Ir 0.0000 0.0000 0.5000 1
```


[3]
Here is an optimized crystal structure of Y2BeIr from Alexandria via LeMat-Bulk. Energies are from GGA-PBE.

- formation energy from the elements (eV per atom) = 2.397
- uncorrected energy (eV per atom) = -3.98
- density (g cm⁻³) = 0.63

CIF file:
```
data_Y2BeIr
_chemical_formula_sum 'Y4 Be2 Ir2'
_space_group_name_H-M_alt 'I m m m'
_space_group_IT_number 71
_space_group_name_Hall '-I 2 2'
_cell_length_a 10.3863
_cell_length_b 11.6878
_cell_length_c 16.5360
_cell_angle_alpha 90.00
_cell_angle_beta 90.00
_cell_angle_gamma 90.00
loop_
_atom_site_label
_atom_site_type_symbol
_atom_site_fract_x
_atom_site_fract_y
_atom_site_fract_z
_atom_site_occupancy
Y1 Y 0.2352 0.0000 0.0000 1
Be1 Be 0.0000 0.5000 0.5000 1
Ir1 Ir 0.0000 0.0000 0.0000 1
```


[4]
Here is an optimized crystal structure of Y2BeIr from Alexandria via LeMat-Bulk. Energies are from GGA-PBE.

- formation energy from the elements (eV per atom) = -0.360
- uncorrected energy (eV per atom) = -6.74
- density (g cm⁻³) = 6.78

CIF file:
```
data_Y2BeIr
_chemical_formula_sum 'Y4 Be2 Ir2'
_space_group_name_H-M_alt 'I m m 2'
_space_group_IT_number 44
_cell_length_a 3.7970
_cell_length_b 4.0451
_cell_length_c 12.0808
_cell_angle_alpha 90.00
_cell_angle_beta 90.00
_cell_angle_gamma 90.00
loop_
_space_group_symop_operation_xyz
'x,y,z'
'-x,-y,z'
'-x,y,z'
'x,-y,z'
'x+1/2,y+1/2,z+1/2'
'-x+1/2,-y+1/2,z+1/2'
'-x+1/2,y+1/2,z+1/2'
'x+1/2,-y+1/2,z+1/2'
loop_
_atom_site_label
_atom_site_type_symbol
_atom_site_fract_x
_atom_site_fract_y
_atom_site_fract_z
_atom_site_occupancy
Y1 Y 0.0000 0.0000 0.0000 1
Y2 Y 0.0000 0.5000 0.2478 1
Be1 Be 0.0000 0.5000 0.8223 1
Ir1 Ir 0.0000 0.0000 0.4192 1
```


[5]
Here is an optimized crystal structure of YBe2Ir from Alexandria via LeMat-Bulk. Energies are from GGA-PBE.

- formation energy from the elements (eV per atom) = 0.045
- uncorrected energy (eV per atom) = -5.65
- excess energy over the best structure of this formula in the dataset (meV per atom) = 575
- density (g cm⁻³) = 8.04

CIF file:
```
data_YBe2Ir
_chemical_formula_sum 'Y2 Be4 Ir2'
_space_group_name_H-M_alt 'I -4 m 2'
_space_group_IT_number 119
_space_group_name_Hall 'I -4 -2'
_cell_length_a 4.0158
_cell_length_b 4.0158
_cell_length_c 7.6646
_cell_angle_alpha 90.00
_cell_angle_beta 90.00
_cell_angle_gamma 90.00
loop_
_atom_site_label
_atom_site_type_symbol
_atom_site_fract_x
_atom_site_fract_y
_atom_site_fract_z
_atom_site_occupancy
Y1 Y 0.0000 0.0000 0.0000 1
Be1 Be 0.0000 0.0000 0.5000 1
Be2 Be 0.0000 0.5000 0.7500 1
Ir1 Ir 0.0000 0.5000 0.2500 1
```


[6]
Here is an optimized crystal structure of YBe2Ir from Alexandria via LeMat-Bulk. Energies are from GGA-PBE.

- formation energy from the elements (eV per atom) = -0.472
- uncorrected energy (eV per atom) = -6.17
- excess energy over the best structure of this formula in the dataset (meV per atom) = 58
- density (g cm⁻³) = 7.60

CIF file:
```
data_YBe2Ir
_chemical_formula_sum 'Y3 Be6 Ir3'
_space_group_name_H-M_alt 'R 3 m'
_space_group_IT_number 160
_space_group_name_Hall 'R 3 -2"'
_cell_length_a 3.9179
_cell_length_b 3.9179
_cell_length_c 14.7491
_cell_angle_alpha 90.00
_cell_angle_beta 90.00
_cell_angle_gamma 120.00
loop_
_atom_site_label
_atom_site_type_symbol
_atom_site_fract_x
_atom_site_fract_y
_atom_site_fract_z
_atom_site_occupancy
Y1 Y 0.0000 0.0000 0.0000 1
Be1 Be 0.0000 0.0000 0.5100 1
Be2 Be 0.0000 0.0000 0.8126 1
Ir1 Ir 0.0000 0.0000 0.1960 1
```


[7]
Here is an optimized crystal structure of YBe3Ir2 from Alexandria via LeMat-Bulk. Energies are from GGA-PBE.

- formation energy from the elements (eV per atom) = -0.535
- uncorrected energy (eV per atom) = -6.43
- excess energy over the best structure of this formula in the dataset (meV per atom) = 90
- density (g cm⁻³) = 9.86

CIF file:
```
data_YBe3Ir2
_chemical_formula_sum 'Y1 Be3 Ir2'
_space_group_name_H-M_alt 'P 6/m m m'
_space_group_IT_number 191
_space_group_name_Hall '-P 6 2'
_cell_length_a 5.1840
_cell_length_b 5.1840
_cell_length_c 3.6191
_cell_angle_alpha 90.00
_cell_angle_beta 90.00
_cell_angle_gamma 120.00
loop_
_atom_site_label
_atom_site_type_symbol
_atom_site_fract_x
_atom_site_fract_y
_atom_site_fract_z
_atom_site_occupancy
Y1 Y 0.0000 0.0000 0.0000 1
Be1 Be 0.0000 0.5000 0.5000 1
Ir1 Ir 0.3333 0.6667 0.0000 1
```


[8]
Here is an optimized crystal structure of YBeIr2 from Alexandria via LeMat-Bulk. Energies are from GGA-PBE.

- formation energy from the elements (eV per atom) = -0.226
- uncorrected energy (eV per atom) = -7.20
- density (g cm⁻³) = 12.23

CIF file:
```
data_YBeIr2
_chemical_formula_sum 'Y1 Be1 Ir2'
_space_group_name_H-M_alt 'P m m 2'
_space_group_IT_number 25
_cell_length_a 2.8731
_cell_length_b 3.7941
_cell_length_c 6.0095
_cell_angle_alpha 90.00
_cell_angle_beta 90.00
_cell_angle_gamma 90.00
loop_
_space_group_symop_operation_xyz
'x,y,z'
'-x,-y,z'
'-x,y,z'
'x,-y,z'
loop_
_atom_site_label
_atom_site_type_symbol
_atom_site_fract_x
_atom_site_fract_y
_atom_site_fract_z
_atom_site_occupancy
Y1 Y 0.0000 0.0000 0.0000 1
Be1 Be 0.5000 0.5000 0.3515 1
Ir1 Ir 0.0000 0.0000 0.4677 1
Ir2 Ir 0.5000 0.5000 0.7284 1
```


[9]
Here is an optimized crystal structure of YBeIr2 from Alexandria via LeMat-Bulk. Energies are from GGA-PBE.

- formation energy from the elements (eV per atom) = -0.204
- uncorrected energy (eV per atom) = -7.18
- density (g cm⁻³) = 12.28

CIF file:
```
data_YBeIr2
_chemical_formula_sum 'Y1 Be1 Ir2'
_space_group_name_H-M_alt 'P 4 m m'
_space_group_IT_number 99
_cell_length_a 3.1449
_cell_length_b 3.1449
_cell_length_c 6.5972
_cell_angle_alpha 90.00
_cell_angle_beta 90.00
_cell_angle_gamma 90.00
loop_
_space_group_symop_operation_xyz
'x,y,z'
'-y,x,z'
'-x,-y,z'
'y,-x,z'
'-x,y,z'
'y,x,z'
'x,-y,z'
'-y,-x,z'
loop_
_atom_site_label
_atom_site_type_symbol
_atom_site_fract_x
_atom_site_fract_y
_atom_site_fract_z
_atom_site_occupancy
Y1 Y 0.0000 0.0000 0.0000 1
Be1 Be 0.5000 0.5000 0.3449 1
Ir1 Ir 0.0000 0.0000 0.4368 1
Ir2 Ir 0.5000 0.5000 0.7313 1
```


[10]
Here is an optimized crystal structure of YBeIr2 from Alexandria via LeMat-Bulk. Energies are from GGA-PBE.

- formation energy from the elements (eV per atom) = -0.277
- uncorrected energy (eV per atom) = -7.26
- density (g cm⁻³) = 12.17

CIF file:
```
data_YBeIr2
_chemical_formula_sum 'Y1 Be1 Ir2'
_space_group_name_H-M_alt 'P 1 m 1'
_space_group_IT_number 6
_cell_length_a 2.9885
_cell_length_b 4.2525
_cell_length_c 5.3901
_cell_angle_alpha 90.00
_cell_angle_beta 106.05
_cell_angle_gamma 90.00
loop_
_space_group_symop_operation_xyz
'x,y,z'
'x,-y,z'
loop_
_atom_site_label
_atom_site_type_symbol
_atom_site_fract_x
_atom_site_fract_y
_atom_site_fract_z
_atom_site_occupancy
Y1 Y 0.0000 0.0000 0.0000 1
Be1 Be 0.6558 0.5000 0.3131 1
Ir1 Ir 0.3358 0.5000 0.6762 1
Ir2 Ir 0.7310 0.0000 0.4692 1
```